No. 1
Material: Cr2FeN
Method: DFT, PBE-GGA
State: relaxed

Computed properties:
- SG = I-42d
- magnetization (Bohr magnetons per cell) = 2.201
- raw formation energy (eV per atom) = 0.28

a b c (Å): 5.357 5.357 5.357
angles (deg): 123.98 123.98 83.24
Fractional coordinates of all 8 atoms:
Cr1 0.056 0.625 0.931
Cr2 0.375 0.306 0.431
Cr3 0.694 0.125 0.069
Cr4 0.875 0.944 0.569
Fe1 0.250 0.750 0.500
Fe2 0.500 0.500 0.000
N1 0.000 0.000 0.000
N2 0.750 0.250 0.500



No. 2
Material: Ti2OsAu
Method: DFT, PBE-GGA
State: relaxed

Computed properties:
- SG = I-42d
- energy of formation from the pure elements (meV/atom) = 64
- magnetization (Bohr magnetons per cell) = 0.000

a b c (Å): 5.723 5.723 5.723
angles (deg): 103.53 103.53 122.14
Fractional coordinates of all 8 atoms:
Ti1 0.100 0.625 0.975
Ti2 0.375 0.350 0.475
Ti3 0.650 0.125 0.025
Ti4 0.875 0.900 0.525
Os1 0.000 0.000 0.000
Os2 0.750 0.250 0.500
Au1 0.250 0.750 0.500
Au2 0.500 0.500 0.000



No. 3
Material: Al2Bi2Rh
Method: DFT, PBE-GGA
State: relaxed

Computed properties:
- SG = P4/mbm
- energy of formation from the pure elements (meV/atom) = 36
- magnetization (Bohr magnetons per cell) = 0.000
- distance to the lowest polymorph of the same formula (kJ per mole of atoms) = 0.0

a b c (Å): 6.695 6.695 4.898
angles (deg): 90.00 90.00 90.00
Fractional coordinates of all 10 atoms:
Al1 0.145 0.355 0.000
Al2 0.355 0.855 0.000
Al3 0.645 0.145 0.000
Al4 0.855 0.645 0.000
Bi1 0.176 0.676 0.500
Bi2 0.324 0.176 0.500
Bi3 0.676 0.824 0.500
Bi4 0.824 0.324 0.500
Rh1 0.000 0.000 0.000
Rh2 0.500 0.500 0.000



No. 4
Material: ErBeAu
Method: DFT, PBE-GGA
State: relaxed

Computed properties:
- SG = Pnma
- energy of formation from the pure elements (meV/atom) = -532
- magnetization (Bohr magnetons per cell) = 0.000
- distance to the lowest polymorph of the same formula (kJ per mole of atoms) = 0.0

a b c (Å): 6.977 4.323 7.218
angles (deg): 90.00 90.00 90.00
Fractional coordinates of all 12 atoms:
Er1 0.001 0.250 0.203
Er2 0.499 0.750 0.703
Er3 0.501 0.250 0.297
Er4 0.999 0.750 0.797
Be1 0.181 0.250 0.578
Be2 0.319 0.750 0.078
Be3 0.681 0.250 0.922
Be4 0.819 0.750 0.422
Au1 0.205 0.750 0.410
Au2 0.295 0.250 0.910
Au3 0.705 0.750 0.090
Au4 0.795 0.250 0.590



No. 5
Material: NdTlAg2
Method: DFT, PBE-GGA
State: relaxed

Computed properties:
- SG = P4/mmm
- energy of formation from the pure elements (meV/atom) = -120
- magnetization (Bohr magnetons per cell) = 0.000
- distance to the lowest polymorph of the same formula (kJ per mole of atoms) = 12.0

a b c (Å): 3.861 3.861 6.691
angles (deg): 90.00 90.00 90.00
Fractional coordinates of all 4 atoms:
Nd1 0.000 0.000 0.000
Tl1 0.000 0.000 0.500
Ag1 0.500 0.500 0.249
Ag2 0.500 0.500 0.751



No. 6
Material: BaGdGaHg
Method: DFT, PBE-GGA
State: relaxed

Computed properties:
- SG = F-43m
- energy of formation from the pure elements (meV/atom) = -346
- magnetization (Bohr magnetons per cell) = 7.273

a b c (Å): 5.562 5.562 5.562
angles (deg): 60.00 60.00 60.00
Fractional coordinates of all 4 atoms:
Ba1 0.000 0.000 0.000
Gd1 0.500 0.500 0.500
Ga1 0.250 0.250 0.250
Hg1 0.750 0.750 0.750



No. 7
Material: Zr2PaZn2Rh5
Method: DFT, PBE-GGA
State: relaxed

Computed properties:
- SG = P4/mbm
- energy of formation from the pure elements (meV/atom) = -659
- magnetization (Bohr magnetons per cell) = 0.000

a b c (Å): 9.526 9.526 3.748
angles (deg): 90.00 90.00 90.00
Fractional coordinates of all 20 atoms:
Zr1 0.168 0.332 0.000
Zr2 0.332 0.832 0.000
Zr3 0.668 0.168 0.000
Zr4 0.832 0.668 0.000
Pa1 0.000 0.000 0.000
Pa2 0.500 0.500 0.000
Zn1 0.126 0.626 0.000
Zn2 0.374 0.126 0.000
Zn3 0.626 0.874 0.000
Zn4 0.874 0.374 0.000
Rh1 0.000 0.500 0.500
Rh2 0.072 0.796 0.500
Rh3 0.204 0.072 0.500
Rh4 0.296 0.572 0.500
Rh5 0.428 0.296 0.500
Rh6 0.500 0.000 0.500
Rh7 0.572 0.704 0.500
Rh8 0.704 0.428 0.500
Rh9 0.796 0.928 0.500
Rh10 0.928 0.204 0.500



No. 8
Material: Ca3AlAs2Pd9
Method: DFT, PBE-GGA
State: relaxed

Computed properties:
- SG = P-3m1
- energy of formation from the pure elements (meV/atom) = -561
- magnetization (Bohr magnetons per cell) = 0.000

a b c (Å): 6.463 6.463 8.889
angles (deg): 90.00 90.00 120.00
Fractional coordinates of all 15 atoms:
Ca1 0.000 0.000 0.000
Ca2 0.333 0.667 0.695
Ca3 0.667 0.333 0.305
Al1 0.000 0.000 0.500
As1 0.333 0.667 0.180
As2 0.667 0.333 0.820
Pd1 0.000 0.500 0.000
Pd2 0.140 0.280 0.284
Pd3 0.140 0.860 0.284
Pd4 0.280 0.140 0.716
Pd5 0.500 0.000 0.000
Pd6 0.500 0.500 0.000
Pd7 0.720 0.860 0.284
Pd8 0.860 0.140 0.716
Pd9 0.860 0.720 0.716